Entry 1:
VASP calculation (PBE-GGA) on a relaxed RbY2Bi2 crystal.

N(E_F)   4.86 states/eV per cell
Offset from the most stable computed form   0 meV per atom
Total magnetization   1.861 μB per cell
Energy relative to the elements   -0.541 eV/atom
Calculated total energy   -4.87 eV/atom

Geometry as CIF:
```
data_RbY2Bi2
_chemical_formula_sum 'Rb2 Y4 Bi4'
_cell_length_a 5.2350
_cell_length_b 5.2350
_cell_length_c 15.3970
_cell_angle_alpha 90.00
_cell_angle_beta 90.00
_cell_angle_gamma 90.00
_symmetry_space_group_name_H-M 'P 1'
_symmetry_Int_Tables_number 1
_symmetry_space_group_name_Hall 'P 1'
loop_
_atom_site_label
_atom_site_type_symbol
_atom_site_fract_x
_atom_site_fract_y
_atom_site_fract_z
Rb1 Rb 0.0000 0.0000 0.0000
Rb2 Rb 0.5000 0.5000 0.5000
Y1 Y 0.0000 0.5000 0.2500
Y2 Y 0.0000 0.5000 0.7500
Y3 Y 0.5000 0.0000 0.2500
Y4 Y 0.5000 0.0000 0.7500
Bi1 Bi 0.0000 0.0000 0.3636
Bi2 Bi 0.0000 0.0000 0.6364
Bi3 Bi 0.5000 0.5000 0.1364
Bi4 Bi 0.5000 0.5000 0.8636
```

=====

Entry 2:
VASP calculation (PBE-GGA) on a relaxed RbY2Bi crystal.

N(E_F)   26.15 states/eV per cell
Total magnetization   0.002 μB per cell
Energy relative to the elements   0.328 eV/atom
Calculated total energy   -4.12 eV/atom

Geometry as CIF:
```
data_RbY2Bi
_chemical_formula_sum 'Rb4 Y8 Bi4'
_cell_length_a 6.2950
_cell_length_b 6.2950
_cell_length_c 21.5353
_cell_angle_alpha 90.00
_cell_angle_beta 90.00
_cell_angle_gamma 90.00
_symmetry_space_group_name_H-M 'P 1'
_symmetry_Int_Tables_number 1
_symmetry_space_group_name_Hall 'P 1'
loop_
_atom_site_label
_atom_site_type_symbol
_atom_site_fract_x
_atom_site_fract_y
_atom_site_fract_z
Rb1 Rb 0.0000 0.0000 0.0000
Rb2 Rb 0.0000 0.5000 0.2500
Rb3 Rb 0.5000 0.0000 0.7500
Rb4 Rb 0.5000 0.5000 0.5000
Y1 Y 0.0009 0.2500 0.6250
Y2 Y 0.2500 0.5009 0.8750
Y3 Y 0.2500 0.9991 0.3750
Y4 Y 0.4991 0.2500 0.1250
Y5 Y 0.5009 0.7500 0.1250
Y6 Y 0.7500 0.0009 0.3750
Y7 Y 0.7500 0.4991 0.8750
Y8 Y 0.9991 0.7500 0.6250
Bi1 Bi 0.0000 0.0000 0.5000
Bi2 Bi 0.0000 0.5000 0.7500
Bi3 Bi 0.5000 0.0000 0.2500
Bi4 Bi 0.5000 0.5000 0.0000
```

=====

Entry 3:
VASP calculation (PBE-GGA) on a relaxed RbY2Bi2 crystal.

N(E_F)   4.35 states/eV per cell
Offset from the most stable computed form   83 meV per atom
Total magnetization   1.955 μB per cell
Energy relative to the elements   -0.458 eV/atom
Calculated total energy   -4.79 eV/atom

Geometry as CIF:
```
data_RbY2Bi2
_chemical_formula_sum 'Rb2 Y4 Bi4'
_cell_length_a 9.1728
_cell_length_b 9.1728
_cell_length_c 3.9261
_cell_angle_alpha 90.00
_cell_angle_beta 90.00
_cell_angle_gamma 90.00
_symmetry_space_group_name_H-M 'P 1'
_symmetry_Int_Tables_number 1
_symmetry_space_group_name_Hall 'P 1'
loop_
_atom_site_label
_atom_site_type_symbol
_atom_site_fract_x
_atom_site_fract_y
_atom_site_fract_z
Rb1 Rb 0.0000 0.0000 0.0000
Rb2 Rb 0.5000 0.5000 0.0000
Y1 Y 0.1279 0.3721 0.0000
Y2 Y 0.3721 0.8721 0.0000
Y3 Y 0.6279 0.1279 0.0000
Y4 Y 0.8721 0.6279 0.0000
Bi1 Bi 0.1632 0.6632 0.5000
Bi2 Bi 0.3368 0.1632 0.5000
Bi3 Bi 0.6632 0.8368 0.5000
Bi4 Bi 0.8368 0.3368 0.5000
```

=====

Entry 4:
VASP calculation (PBE-GGA) on a relaxed RbYBi2 crystal.

N(E_F)   2.57 states/eV per cell
Offset from the most stable computed form   0 meV per atom
Total magnetization   0.000 μB per cell
Energy relative to the elements   -0.519 eV/atom
Calculated total energy   -4.32 eV/atom

Geometry as CIF:
```
data_RbYBi2
_chemical_formula_sum 'Rb1 Y1 Bi2'
_cell_length_a 3.7295
_cell_length_b 3.7295
_cell_length_c 9.8897
_cell_angle_alpha 90.00
_cell_angle_beta 90.00
_cell_angle_gamma 90.00
_symmetry_space_group_name_H-M 'P 1'
_symmetry_Int_Tables_number 1
_symmetry_space_group_name_Hall 'P 1'
loop_
_atom_site_label
_atom_site_type_symbol
_atom_site_fract_x
_atom_site_fract_y
_atom_site_fract_z
Rb1 Rb 0.0000 0.0000 0.0000
Y1 Y 0.0000 0.0000 0.5000
Bi1 Bi 0.5000 0.5000 0.2859
Bi2 Bi 0.5000 0.5000 0.7141
```

=====

Entry 5:
VASP calculation (PBE-GGA) on a relaxed RbYBi2 crystal.

N(E_F)   9.62 states/eV per cell
Offset from the most stable computed form   154 meV per atom
Total magnetization   0.000 μB per cell
Energy relative to the elements   -0.365 eV/atom
Calculated total energy   -4.16 eV/atom

Geometry as CIF:
```
data_RbYBi2
_chemical_formula_sum 'Rb3 Y3 Bi6'
_cell_length_a 4.5163
_cell_length_b 4.5163
_cell_length_c 27.3856
_cell_angle_alpha 90.00
_cell_angle_beta 90.00
_cell_angle_gamma 120.00
_symmetry_space_group_name_H-M 'P 1'
_symmetry_Int_Tables_number 1
_symmetry_space_group_name_Hall 'P 1'
loop_
_atom_site_label
_atom_site_type_symbol
_atom_site_fract_x
_atom_site_fract_y
_atom_site_fract_z
Rb1 Rb 0.0000 0.0000 0.0000
Rb2 Rb 0.3333 0.6667 0.6667
Rb3 Rb 0.6667 0.3333 0.3333
Y1 Y 0.0000 0.0000 0.8311
Y2 Y 0.3333 0.6667 0.4977
Y3 Y 0.6667 0.3333 0.1644
Bi1 Bi 0.0000 0.0000 0.2304
Bi2 Bi 0.0000 0.0000 0.4330
Bi3 Bi 0.3333 0.6667 0.0997
Bi4 Bi 0.3333 0.6667 0.8971
Bi5 Bi 0.6667 0.3333 0.5638
Bi6 Bi 0.6667 0.3333 0.7663
```

=====

Entry 6:
VASP calculation (PBE-GGA) on a relaxed Rb2YBi crystal.

N(E_F)   2.75 states/eV per cell
Total magnetization   0.000 μB per cell
Energy relative to the elements   0.047 eV/atom
Calculated total energy   -3.02 eV/atom

Geometry as CIF:
```
data_Rb2YBi
_chemical_formula_sum 'Rb8 Y4 Bi4'
_cell_length_a 13.6608
_cell_length_b 13.6608
_cell_length_c 5.9806
_cell_angle_alpha 90.00
_cell_angle_beta 90.00
_cell_angle_gamma 90.00
_symmetry_space_group_name_H-M 'P 1'
_symmetry_Int_Tables_number 1
_symmetry_space_group_name_Hall 'P 1'
loop_
_atom_site_label
_atom_site_type_symbol
_atom_site_fract_x
_atom_site_fract_y
_atom_site_fract_z
Rb1 Rb 0.0998 0.2500 0.1250
Rb2 Rb 0.2500 0.5998 0.3750
Rb3 Rb 0.2500 0.9002 0.8750
Rb4 Rb 0.4002 0.2500 0.6250
Rb5 Rb 0.5998 0.7500 0.6250
Rb6 Rb 0.7500 0.0998 0.8750
Rb7 Rb 0.7500 0.4002 0.3750
Rb8 Rb 0.9002 0.7500 0.1250
Y1 Y 0.0000 0.0000 0.5000
Y2 Y 0.0000 0.5000 0.7500
Y3 Y 0.5000 0.0000 0.2500
Y4 Y 0.5000 0.5000 0.0000
Bi1 Bi 0.0000 0.0000 0.0000
Bi2 Bi 0.0000 0.5000 0.2500
Bi3 Bi 0.5000 0.0000 0.7500
Bi4 Bi 0.5000 0.5000 0.5000
```

=====

Entry 7:
VASP calculation (PBE-GGA) on a relaxed RbYBi2 crystal.

N(E_F)   1.45 states/eV per cell
Offset from the most stable computed form   266 meV per atom
Total magnetization   0.000 μB per cell
Energy relative to the elements   -0.253 eV/atom
Calculated total energy   -4.05 eV/atom

Geometry as CIF:
```
data_RbYBi2
_chemical_formula_sum 'Rb4 Y4 Bi8'
_cell_length_a 6.6029
_cell_length_b 6.6029
_cell_length_c 19.5990
_cell_angle_alpha 90.00
_cell_angle_beta 90.00
_cell_angle_gamma 90.00
_symmetry_space_group_name_H-M 'P 1'
_symmetry_Int_Tables_number 1
_symmetry_space_group_name_Hall 'P 1'
loop_
_atom_site_label
_atom_site_type_symbol
_atom_site_fract_x
_atom_site_fract_y
_atom_site_fract_z
Rb1 Rb 0.0000 0.0000 0.0000
Rb2 Rb 0.0000 0.5000 0.2500
Rb3 Rb 0.5000 0.0000 0.7500
Rb4 Rb 0.5000 0.5000 0.5000
Y1 Y 0.0000 0.0000 0.5000
Y2 Y 0.0000 0.5000 0.7500
Y3 Y 0.5000 0.0000 0.2500
Y4 Y 0.5000 0.5000 0.0000
Bi1 Bi 0.0756 0.2500 0.6250
Bi2 Bi 0.2500 0.5756 0.8750
Bi3 Bi 0.2500 0.9244 0.3750
Bi4 Bi 0.4244 0.2500 0.1250
Bi5 Bi 0.5756 0.7500 0.1250
Bi6 Bi 0.7500 0.0756 0.3750
Bi7 Bi 0.7500 0.4244 0.8750
Bi8 Bi 0.9244 0.7500 0.6250
```

=====

Entry 8:
VASP calculation (PBE-GGA) on a relaxed Rb2Zn2Bi crystal.

N(E_F)   4.64 states/eV per cell
Offset from the most stable computed form   27 meV per atom
Total magnetization   0.000 μB per cell
Energy relative to the elements   -0.005 eV/atom
Calculated total energy   -1.68 eV/atom

Geometry as CIF:
```
data_Rb2Zn2Bi
_chemical_formula_sum 'Rb4 Zn4 Bi2'
_cell_length_a 3.7453
_cell_length_b 3.7453
_cell_length_c 24.2795
_cell_angle_alpha 90.00
_cell_angle_beta 90.00
_cell_angle_gamma 90.00
_symmetry_space_group_name_H-M 'P 1'
_symmetry_Int_Tables_number 1
_symmetry_space_group_name_Hall 'P 1'
loop_
_atom_site_label
_atom_site_type_symbol
_atom_site_fract_x
_atom_site_fract_y
_atom_site_fract_z
Rb1 Rb 0.0000 0.0000 0.1127
Rb2 Rb 0.0000 0.0000 0.8873
Rb3 Rb 0.5000 0.5000 0.3873
Rb4 Rb 0.5000 0.5000 0.6127
Zn1 Zn 0.0000 0.5000 0.2500
Zn2 Zn 0.0000 0.5000 0.7500
Zn3 Zn 0.5000 0.0000 0.2500
Zn4 Zn 0.5000 0.0000 0.7500
Bi1 Bi 0.0000 0.0000 0.5000
Bi2 Bi 0.5000 0.5000 0.0000
```

=====

Entry 9:
VASP calculation (PBE-GGA) on a relaxed RbZn2Bi2 crystal.

N(E_F)   1.01 states/eV per cell
Offset from the most stable computed form   39 meV per atom
Total magnetization   0.000 μB per cell
Energy relative to the elements   -0.117 eV/atom
Calculated total energy   -2.37 eV/atom

Geometry as CIF:
```
data_RbZn2Bi2
_chemical_formula_sum 'Rb2 Zn4 Bi4'
_cell_length_a 9.7907
_cell_length_b 8.4910
_cell_length_c 7.2327
_cell_angle_alpha 76.56
_cell_angle_beta 57.51
_cell_angle_gamma 45.93
_symmetry_space_group_name_H-M 'P 1'
_symmetry_Int_Tables_number 1
_symmetry_space_group_name_Hall 'P 1'
loop_
_atom_site_label
_atom_site_type_symbol
_atom_site_fract_x
_atom_site_fract_y
_atom_site_fract_z
Rb1 Rb 0.1250 0.1250 0.1250
Rb2 Rb 0.8750 0.8750 0.8750
Zn1 Zn 0.1984 0.5516 0.1984
Zn2 Zn 0.4484 0.8016 0.4484
Zn3 Zn 0.5516 0.1984 0.5516
Zn4 Zn 0.8016 0.4484 0.8016
Bi1 Bi 0.2450 0.2450 0.5050
Bi2 Bi 0.4950 0.4950 0.7550
Bi3 Bi 0.5050 0.5050 0.2450
Bi4 Bi 0.7550 0.7550 0.4950
```

=====

Entry 10:
VASP calculation (PBE-GGA) on a relaxed RbZnBi3 crystal.

N(E_F)   2.73 states/eV per cell
Offset from the most stable computed form   189 meV per atom
Total magnetization   0.000 μB per cell
Energy relative to the elements   0.112 eV/atom
Calculated total energy   -2.66 eV/atom

Geometry as CIF:
```
data_RbZnBi3
_chemical_formula_sum 'Rb1 Zn1 Bi3'
_cell_length_a 5.6158
_cell_length_b 5.6158
_cell_length_c 5.6158
_cell_angle_alpha 90.00
_cell_angle_beta 90.00
_cell_angle_gamma 90.00
_symmetry_space_group_name_H-M 'P 1'
_symmetry_Int_Tables_number 1
_symmetry_space_group_name_Hall 'P 1'
loop_
_atom_site_label
_atom_site_type_symbol
_atom_site_fract_x
_atom_site_fract_y
_atom_site_fract_z
Rb1 Rb 0.0000 0.0000 0.0000
Zn1 Zn 0.5000 0.5000 0.5000
Bi1 Bi 0.0000 0.5000 0.5000
Bi2 Bi 0.5000 0.0000 0.5000
Bi3 Bi 0.5000 0.5000 0.0000
```

=====

Entry 11:
VASP calculation (PBE-GGA) on a relaxed RbZnBi crystal.

N(E_F)   0.56 states/eV per cell
Total magnetization   0.000 μB per cell
Energy relative to the elements   -0.191 eV/atom
Calculated total energy   -2.23 eV/atom

Geometry as CIF:
```
data_RbZnBi
_chemical_formula_sum 'Rb4 Zn4 Bi4'
_cell_length_a 8.8717
_cell_length_b 4.5848
_cell_length_c 13.1123
_cell_angle_alpha 90.00
_cell_angle_beta 90.00
_cell_angle_gamma 90.00
_symmetry_space_group_name_H-M 'P 1'
_symmetry_Int_Tables_number 1
_symmetry_space_group_name_Hall 'P 1'
loop_
_atom_site_label
_atom_site_type_symbol
_atom_site_fract_x
_atom_site_fract_y
_atom_site_fract_z
Rb1 Rb 0.1362 0.2500 0.1473
Rb2 Rb 0.3638 0.7500 0.6473
Rb3 Rb 0.6362 0.2500 0.3527
Rb4 Rb 0.8638 0.7500 0.8527
Zn1 Zn 0.0522 0.7500 0.4565
Zn2 Zn 0.4478 0.2500 0.9565
Zn3 Zn 0.5522 0.7500 0.0435
Zn4 Zn 0.9478 0.2500 0.5435
Bi1 Bi 0.2213 0.2500 0.4276
Bi2 Bi 0.2787 0.7500 0.9276
Bi3 Bi 0.7213 0.2500 0.0724
Bi4 Bi 0.7787 0.7500 0.5724
```

=====

Entry 12:
VASP calculation (PBE-GGA) on a relaxed Rb2ZnBi2 crystal.

N(E_F)   1.39 states/eV per cell
Offset from the most stable computed form   62 meV per atom
Total magnetization   0.000 μB per cell
Energy relative to the elements   -0.191 eV/atom
Calculated total energy   -2.39 eV/atom

Geometry as CIF:
```
data_Rb2ZnBi2
_chemical_formula_sum 'Rb4 Zn2 Bi4'
_cell_length_a 7.8250
_cell_length_b 7.8250
_cell_length_c 6.1730
_cell_angle_alpha 90.00
_cell_angle_beta 90.00
_cell_angle_gamma 90.00
_symmetry_space_group_name_H-M 'P 1'
_symmetry_Int_Tables_number 1
_symmetry_space_group_name_Hall 'P 1'
loop_
_atom_site_label
_atom_site_type_symbol
_atom_site_fract_x
_atom_site_fract_y
_atom_site_fract_z
Rb1 Rb 0.1660 0.3340 0.0000
Rb2 Rb 0.3340 0.8340 0.0000
Rb3 Rb 0.6660 0.1660 0.0000
Rb4 Rb 0.8340 0.6660 0.0000
Zn1 Zn 0.0000 0.0000 0.5000
Zn2 Zn 0.5000 0.5000 0.5000
Bi1 Bi 0.1450 0.6450 0.5000
Bi2 Bi 0.3550 0.1450 0.5000
Bi3 Bi 0.6450 0.8550 0.5000
Bi4 Bi 0.8550 0.3550 0.5000
```